# MgNi2Os (GGA-PBE, relaxed)
# - energy of formation (meV per atom) = 37.6
# - calculated total energy (eV/atom) = -6.0591
# - density (g/cm3) = 10.4
# - space-group type = P4/mmm (123)
data_MgNi2Os
_chemical_formula_sum 'Mg1 Ni2 Os1'
_symmetry_space_group_name_H-M 'P 1'
_symmetry_Int_Tables_number 1
_cell_length_a 2.6922
_cell_length_b 2.6922
_cell_length_c 7.3388
_cell_angle_alpha 90.00
_cell_angle_beta 90.00
_cell_angle_gamma 89.98
loop_
_symmetry_equiv_pos_as_xyz
'x,y,z'
loop_
_atom_site_label
_atom_site_fract_x
_atom_site_fract_y
_atom_site_fract_z
Mg1 0.5000 0.5000 0.7500
Ni1 0.0000 0.0000 0.0145
Ni2 0.0000 0.0000 0.4855
Os1 0.5000 0.5000 0.2500